# 1
8
Lattice="7.263 0.000 0.000 0.000 4.197 0.000 -2.408 0.000 6.954" Properties=species:S:1:pos:R:3 comment="NaCaPm2Se4 PBE-GGA relaxed" raw_formation_energy_ev_per_atom=-1.804 dft_energy_ev_per_fu=-41.19 pbc="T T T"
Na 0.000 0.000 0.000
Ca 3.632 2.099 0.000
Pm -1.204 2.099 3.477
Pm 2.428 0.000 3.477
Se 0.017 0.000 5.216
Se 1.230 2.099 1.769
Se 3.625 2.099 5.184
Se 4.839 0.000 1.738

# 2
80
Lattice="-7.872 7.872 7.872 7.872 -7.872 7.872 7.872 7.872 -7.872" Properties=species:S:1:pos:R:3 comment="Zn12Ga3Bi5 PBE-GGA relaxed" dft_energy_ev_per_fu=-40.25 pbc="T T T"
Zn 7.612 -1.464 2.424
Zn 12.067 -1.512 2.472
Zn 2.424 -0.259 1.464
Zn 9.383 5.400 -4.195
Zn 10.296 0.259 1.464
Zn 9.383 -2.472 4.195
Zn 1.464 2.424 -0.259
Zn 10.344 3.676 -1.512
Zn 5.400 4.195 -1.512
Zn 6.408 2.424 0.259
Zn -0.259 1.464 2.424
Zn 4.195 -1.512 5.400
Zn 7.612 6.408 -2.424
Zn 4.195 1.512 2.472
Zn 6.408 -2.424 7.612
Zn 5.400 -4.195 9.383
Zn 2.472 4.195 1.512
Zn 9.335 5.447 0.259
Zn 2.424 7.612 -1.464
Zn 9.383 2.472 3.676
Zn 1.512 2.472 4.195
Zn 2.424 0.259 6.408
Zn 4.195 9.383 -2.472
Zn 7.612 1.464 5.447
Zn 0.259 6.408 2.424
Zn 3.676 -1.512 10.344
Zn 5.447 7.612 1.464
Zn 6.360 5.400 3.676
Zn -1.512 5.400 4.195
Zn 5.447 0.259 9.335
Zn -1.464 2.424 7.612
Zn 5.400 3.676 6.360
Zn 2.472 12.067 -1.512
Zn 1.464 10.296 0.259
Zn 3.676 6.360 5.400
Zn 0.259 1.464 10.296
Zn 3.676 9.383 2.472
Zn 8.131 6.408 5.447
Zn 1.464 5.447 7.612
Zn 2.472 3.676 9.383
Zn -2.472 4.195 9.383
Zn 6.408 5.447 8.131
Zn -1.512 10.344 3.676
Zn -2.424 7.612 6.408
Zn -1.512 2.472 12.067
Zn 5.447 8.131 6.408
Zn -4.195 9.383 5.400
Zn 0.259 9.335 5.447
Ga 3.936 1.968 0.000
Ga 7.872 3.936 -1.968
Ga 1.968 0.000 3.936
Ga 9.839 0.000 3.936
Ga 0.000 3.936 1.968
Ga 3.936 -1.968 7.872
Ga 3.936 9.839 0.000
Ga 7.872 3.936 5.904
Ga -1.968 7.872 3.936
Ga 5.904 7.872 3.936
Ga 0.000 3.936 9.839
Ga 3.936 5.904 7.872
Bi 0.000 0.000 0.000
Bi 3.936 3.936 -3.936
Bi 3.936 -3.936 3.936
Bi 7.872 0.000 0.000
Bi 11.807 1.968 0.000
Bi 7.872 -3.936 5.904
Bi 5.904 7.872 -3.936
Bi 5.904 0.000 3.936
Bi 3.936 5.904 0.000
Bi 7.872 3.936 1.968
Bi -3.936 3.936 3.936
Bi 0.000 7.872 0.000
Bi 0.000 0.000 7.872
Bi 3.936 3.936 3.936
Bi 0.000 3.936 5.904
Bi 3.936 1.968 7.872
Bi 1.968 7.872 3.936
Bi 1.968 0.000 11.807
Bi 0.000 11.807 1.968
Bi -3.936 5.904 7.872

# 3
12
Lattice="-2.333 3.286 6.992 2.333 -3.286 6.992 2.333 3.286 -6.992" Properties=species:S:1:pos:R:3 comment="Zr6Tc5Rh PBE-GGA relaxed" dft_energy_ev_per_fu=-116.07 pbc="T T T"
Zr 2.333 1.633 -2.344
Zr 0.000 1.624 0.000
Zr 2.333 1.633 2.344
Zr 0.000 1.653 4.648
Zr 0.000 4.949 0.000
Zr 0.000 1.653 9.336
Tc 2.333 0.000 0.000
Tc 0.000 0.000 2.324
Tc 2.333 0.000 4.676
Tc 0.000 3.286 2.316
Tc 0.000 0.000 11.660
Rh 0.000 0.000 6.992

# 4
4
Lattice="1.878 1.084 6.974 -1.878 1.084 6.974 0.000 -2.169 6.974" Properties=species:S:1:pos:R:3 comment="U2TeC PBE-GGA relaxed" raw_formation_energy_ev_per_atom=-0.281 dft_energy_ev_per_fu=-36.07 pbc="T T T"
U 0.000 0.000 4.718
U 0.000 0.000 16.203
Te 0.000 0.000 0.000
C 0.000 0.000 10.461

# 5
5
Lattice="-2.693 2.693 2.693 2.693 -2.693 2.693 2.693 2.693 -2.693" Properties=species:S:1:pos:R:3 comment="Ni4Mo PBE-GGA relaxed" dft_energy_ev_per_fu=-29.19 de_polymorph_mev_per_atom=1037.5 pbc="T T T"
Ni 1.346 1.346 -1.346
Ni 1.346 -1.346 1.346
Ni -1.346 1.346 1.346
Ni 1.346 1.346 1.346
Mo 0.000 0.000 0.000

# 6
4
Lattice="0.000 3.516 3.516 3.516 0.000 3.516 3.516 3.516 0.000" Properties=species:S:1:pos:R:3 comment="PaCdHgPd PBE-GGA relaxed" dft_energy_ev_per_fu=-16.64 pbc="T T T"
Pa 0.000 0.000 0.000
Cd 3.516 3.516 3.516
Hg 1.758 1.758 1.758
Pd 5.275 5.275 5.275

# 7
5
Lattice="5.039 0.000 0.000 0.000 5.039 0.000 0.000 0.000 5.039" Properties=species:S:1:pos:R:3 comment="Ge3SbCl PBE-GGA relaxed" raw_formation_energy_ev_per_atom=0.689 dft_energy_ev_per_fu=-16.38 de_polymorph_mev_per_atom=0.0 pbc="T T T"
Ge 0.000 0.000 2.519
Ge 0.000 2.519 0.000
Ge 2.519 0.000 0.000
Sb 2.519 2.519 2.519
Cl 0.000 0.000 0.000

# 8
20
Lattice="5.108 -4.140 0.000 5.108 4.140 0.000 -1.535 0.000 4.874" Properties=species:S:1:pos:R:3 comment="Fe3HW PBE-GGA relaxed" dft_energy_ev_per_fu=-40.11 de_polymorph_mev_per_atom=308.5 pbc="T T T"
Fe 1.202 0.103 0.229
Fe 0.435 -0.103 2.666
Fe 1.654 1.231 4.344
Fe 2.461 1.149 2.008
Fe 1.694 -1.149 4.445
Fe 2.421 -1.231 1.907
Fe 6.260 1.231 2.967
Fe 6.988 1.149 0.429
Fe 6.221 -1.149 2.867
Fe 7.028 -1.231 0.530
Fe 8.247 0.103 2.208
Fe 7.480 -0.103 4.646
H 3.476 2.589 1.722
H 5.973 2.589 0.716
H 2.709 -2.589 4.159
H 5.205 -2.589 3.153
W 3.957 2.336 3.656
W 4.724 0.531 1.219
W 3.957 -0.531 3.656
W 4.724 -2.336 1.219

# 9
4
Lattice="0.000 3.509 3.509 3.509 0.000 3.509 3.509 3.509 0.000" Properties=species:S:1:pos:R:3 comment="CsRePd2 PBE-GGA relaxed" dft_energy_ev_per_fu=-18.05 pbc="T T T"
Cs 0.000 0.000 0.000
Re 3.509 3.509 3.509
Pd 1.755 1.755 1.755
Pd 5.264 5.264 5.264

# 10
10
Lattice="10.216 0.000 0.000 0.000 10.216 0.000 0.000 0.000 2.777" Properties=species:S:1:pos:R:3 comment="Rb2Os2Pb PBE-GGA relaxed" dft_energy_ev_per_fu=-18.51 de_polymorph_mev_per_atom=1180.9 pbc="T T T"
Rb 1.203 3.905 0.000
Rb 3.905 9.013 0.000
Rb 6.311 1.203 0.000
Rb 9.013 6.311 0.000
Os 1.868 6.976 1.389
Os 3.240 1.868 1.389
Os 6.976 8.348 1.389
Os 8.348 3.240 1.389
Pb 0.000 0.000 0.000
Pb 5.108 5.108 0.000

# 11
4
Lattice="5.023 0.000 0.000 0.000 5.023 0.000 0.000 0.000 3.231" Properties=species:S:1:pos:R:3 comment="GdPuIr2 PBE-GGA relaxed" dft_energy_ev_per_fu=-48.32 de_polymorph_mev_per_atom=1.2 pbc="T T T"
Gd 0.000 0.000 0.000
Pu 2.512 2.512 0.000
Ir 0.000 2.512 1.616
Ir 2.512 0.000 1.616

# 12
18
Lattice="-3.789 4.149 5.136 3.789 -4.149 5.136 3.789 4.149 -5.136" Properties=species:S:1:pos:R:3 comment="RbAcMgF6 PBE-GGA relaxed" raw_formation_energy_ev_per_atom=-3.629 dft_energy_ev_per_fu=-50.56 pbc="T T T"
Rb 0.000 2.074 0.791
Rb 3.789 2.074 4.346
Ac 3.789 0.000 0.000
Ac 0.000 0.000 5.136
Mg 1.894 2.074 -2.568
Mg 1.894 -2.074 2.568
F 1.693 -0.636 1.195
F 5.885 -0.636 1.195
F 3.789 2.074 -1.820
F 1.693 3.513 -1.195
F 2.096 -0.636 3.942
F 3.789 2.074 1.321
F 0.000 2.074 3.816
F 1.693 4.785 1.195
F 2.096 0.636 6.331
F 0.000 2.074 6.957
F -2.096 4.785 3.942
F 2.096 4.785 3.942